Model one:
# PBE Zn2Bi2Pb, relaxed
# Fermi-level density of states, states/eV per atom: 0.44
# Magnetization, μB per cell: 0.000
data_Zn2Bi2Pb
_chemical_formula_sum 'Zn4 Bi4 Pb2'
_space_group_name_H-M_alt 'P 4/m b m'
_space_group_IT_number 127
_space_group_name_Hall '-P 4 2ab'
_cell_length_a 8.443
_cell_length_b 8.443
_cell_length_c 3.633
_cell_angle_alpha 90.00
_cell_angle_beta 90.00
_cell_angle_gamma 90.00
loop_
_atom_site_label
_atom_site_type_symbol
_atom_site_fract_x
_atom_site_fract_y
_atom_site_fract_z
Zn1 Zn 0.111 0.389 0.000
Bi1 Bi 0.188 0.688 0.500
Pb1 Pb 0.000 0.000 0.000


Model two:
# PBE Zn2Bi2Pb, relaxed
# Fermi-level density of states, states/eV per atom: 0.40
# Magnetization, μB per cell: 0.000
data_Zn2Bi2Pb
_chemical_formula_sum 'Zn4 Bi4 Pb2'
_space_group_name_H-M_alt 'I 4/m m m'
_space_group_IT_number 139
_space_group_name_Hall '-I 4 2'
_cell_length_a 4.788
_cell_length_b 4.788
_cell_length_c 12.015
_cell_angle_alpha 90.00
_cell_angle_beta 90.00
_cell_angle_gamma 90.00
loop_
_atom_site_label
_atom_site_type_symbol
_atom_site_fract_x
_atom_site_fract_y
_atom_site_fract_z
Zn1 Zn 0.000 0.000 0.100
Bi1 Bi 0.000 0.500 0.250
Pb1 Pb 0.000 0.000 0.500


Model three:
# PBE Zn2Bi2Pb, relaxed
# Fermi-level density of states, states/eV per atom: 0.46
# Magnetization, μB per cell: 0.000
data_Zn2Bi2Pb
_chemical_formula_sum 'Zn4 Bi4 Pb2'
_space_group_name_H-M_alt 'I 4/m m m'
_space_group_IT_number 139
_space_group_name_Hall '-I 4 2'
_cell_length_a 4.140
_cell_length_b 4.140
_cell_length_c 15.926
_cell_angle_alpha 90.00
_cell_angle_beta 90.00
_cell_angle_gamma 90.00
loop_
_atom_site_label
_atom_site_type_symbol
_atom_site_fract_x
_atom_site_fract_y
_atom_site_fract_z
Zn1 Zn 0.000 0.500 0.250
Bi1 Bi 0.000 0.000 0.121
Pb1 Pb 0.000 0.000 0.500


Which one sits at the top of the stability order? model three does.


Model one:
# PBE Zr4Bi2Pb, relaxed
# Fermi-level density of states, states/eV per atom: 0.83
# Magnetization, μB per cell: 0.000
data_Zr4Bi2Pb
_chemical_formula_sum 'Zr16 Bi8 Pb4'
_space_group_name_H-M_alt 'I 41 2 2'
_space_group_IT_number 98
_space_group_name_Hall 'I 4bw 2bw'
_cell_length_a 9.189
_cell_length_b 9.189
_cell_length_c 8.868
_cell_angle_alpha 90.00
_cell_angle_beta 90.00
_cell_angle_gamma 90.00
loop_
_atom_site_label
_atom_site_type_symbol
_atom_site_fract_x
_atom_site_fract_y
_atom_site_fract_z
Zr1 Zr 0.080 0.187 0.305
Bi1 Bi 0.079 0.750 0.625
Pb1 Pb 0.000 0.000 0.000


Model two:
# PBE Zr4Bi2Pb, relaxed
# Fermi-level density of states, states/eV per atom: 0.59
# Magnetization, μB per cell: 0.000
data_Zr4Bi2Pb
_chemical_formula_sum 'Zr16 Bi8 Pb4'
_space_group_name_H-M_alt 'I -4 2 d'
_space_group_IT_number 122
_space_group_name_Hall 'I -4 2bw'
_cell_length_a 8.836
_cell_length_b 8.836
_cell_length_c 8.841
_cell_angle_alpha 90.00
_cell_angle_beta 90.00
_cell_angle_gamma 90.00
loop_
_atom_site_label
_atom_site_type_symbol
_atom_site_fract_x
_atom_site_fract_y
_atom_site_fract_z
Zr1 Zr 0.078 0.672 0.454
Bi1 Bi 0.125 0.750 0.125
Pb1 Pb 0.000 0.000 0.500


Which one sits at the top of the stability order? model two does.


Model one:
# PBE ZrBiPb3, relaxed
# Fermi-level density of states, states/eV per atom: 1.19
# Magnetization, μB per cell: 1.973
data_ZrBiPb3
_chemical_formula_sum 'Zr1 Bi1 Pb3'
_space_group_name_H-M_alt 'P m -3 m'
_space_group_IT_number 221
_space_group_name_Hall '-P 4 2 3'
_cell_length_a 5.896
_cell_length_b 5.896
_cell_length_c 5.896
_cell_angle_alpha 90.00
_cell_angle_beta 90.00
_cell_angle_gamma 90.00
loop_
_atom_site_label
_atom_site_type_symbol
_atom_site_fract_x
_atom_site_fract_y
_atom_site_fract_z
Zr1 Zr 0.000 0.000 0.000
Bi1 Bi 0.500 0.500 0.500
Pb1 Pb 0.000 0.500 0.500


Model two:
# PBE ZrBiPb3, relaxed
# Fermi-level density of states, states/eV per atom: 0.81
# Magnetization, μB per cell: 0.000
data_ZrBiPb3
_chemical_formula_sum 'Zr1 Bi1 Pb3'
_space_group_name_H-M_alt 'P m -3 m'
_space_group_IT_number 221
_space_group_name_Hall '-P 4 2 3'
_cell_length_a 5.692
_cell_length_b 5.692
_cell_length_c 5.692
_cell_angle_alpha 90.00
_cell_angle_beta 90.00
_cell_angle_gamma 90.00
loop_
_atom_site_label
_atom_site_type_symbol
_atom_site_fract_x
_atom_site_fract_y
_atom_site_fract_z
Zr1 Zr 0.000 0.000 0.000
Bi1 Bi 0.500 0.500 0.500
Pb1 Pb 0.000 0.000 0.500


Which one sits at the top of the stability order? model two does.


Model one:
# PBE ZrBiPb2, relaxed
# Fermi-level density of states, states/eV per atom: 1.10
# Magnetization, μB per cell: 0.000
data_ZrBiPb2
_chemical_formula_sum 'Zr3 Bi3 Pb6'
_space_group_name_H-M_alt 'R -3 m'
_space_group_IT_number 166
_space_group_name_Hall '-R 3 2"'
_cell_length_a 3.3750
_cell_length_b 3.3750
_cell_length_c 36.4289
_cell_angle_alpha 90.00
_cell_angle_beta 90.00
_cell_angle_gamma 120.00
loop_
_atom_site_label
_atom_site_type_symbol
_atom_site_fract_x
_atom_site_fract_y
_atom_site_fract_z
Zr1 Zr 0.0000 0.0000 0.0000
Bi1 Bi 0.0000 0.0000 0.5000
Pb1 Pb 0.0000 0.0000 0.0832


Model two:
# PBE ZrBiPb2, relaxed
# Fermi-level density of states, states/eV per atom: 0.72
# Magnetization, μB per cell: 0.000
data_ZrBiPb2
_chemical_formula_sum 'Zr4 Bi4 Pb8'
_space_group_name_H-M_alt 'I -4 2 d'
_space_group_IT_number 122
_space_group_name_Hall 'I -4 2bw'
_cell_length_a 4.449
_cell_length_b 4.449
_cell_length_c 23.479
_cell_angle_alpha 90.00
_cell_angle_beta 90.00
_cell_angle_gamma 90.00
loop_
_atom_site_label
_atom_site_type_symbol
_atom_site_fract_x
_atom_site_fract_y
_atom_site_fract_z
Zr1 Zr 0.000 0.000 0.000
Bi1 Bi 0.000 0.000 0.500
Pb1 Pb 0.242 0.250 0.125


Which one sits at the top of the stability order? model two does.


Model one:
# PBE Bi3Pd5, relaxed
# Fermi-level density of states, states/eV per atom: 0.55
# Magnetization, μB per cell: 0.000
data_Bi3Pd5
_chemical_formula_sum 'Bi12 Pd20'
_space_group_name_H-M_alt 'C m c m'
_space_group_IT_number 63
_space_group_name_Hall '-C 2c 2'
_cell_length_a 9.320
_cell_length_b 7.098
_cell_length_c 9.570
_cell_angle_alpha 90.00
_cell_angle_beta 90.00
_cell_angle_gamma 90.00
loop_
_atom_site_label
_atom_site_type_symbol
_atom_site_fract_x
_atom_site_fract_y
_atom_site_fract_z
Bi1 Bi 0.000 0.089 0.250
Bi2 Bi 0.202 0.500 0.000
Pd1 Pd 0.000 0.199 0.537
Pd2 Pd 0.000 0.491 0.250
Pd3 Pd 0.220 0.225 0.750


Model two:
# PBE Bi3Pd5, relaxed
# Fermi-level density of states, states/eV per atom: 0.76
# Magnetization, μB per cell: 0.000
data_Bi3Pd5
_chemical_formula_sum 'Bi3 Pd5'
_space_group_name_H-M_alt 'P -6 m 2'
_space_group_IT_number 187
_space_group_name_Hall 'P -6 2'
_cell_length_a 4.2510
_cell_length_b 4.2510
_cell_length_c 11.1687
_cell_angle_alpha 90.00
_cell_angle_beta 90.00
_cell_angle_gamma 120.00
loop_
_atom_site_label
_atom_site_type_symbol
_atom_site_fract_x
_atom_site_fract_y
_atom_site_fract_z
Bi1 Bi 0.0000 0.0000 0.0000
Bi2 Bi 0.3333 0.6667 0.2745
Pd1 Pd 0.0000 0.0000 0.5000
Pd2 Pd 0.6667 0.3333 0.1287
Pd3 Pd 0.6667 0.3333 0.3819


Which one sits at the top of the stability order? model one does.